Record 1
Density functional theory data (GGA-PBE) for an optimized crystal structure of Ac2HPb.

Computed properties:
* space-group type: P2/c, No. 13
* energy: -66.7 eV/cell
* magnetic moment: 0.0 μB/cell
* E above lowest polymorph: 159 meV/atom

a b c (Å): 6.589 6.911 10.920
angles (deg): 97.56 90.00 90.00
Fractional positions:
1 Pb 0.213 0.618 0.127
2 Ac 0.712 0.475 0.181
3 Ac 0.767 0.903 0.929
4 H 0.137 0.633 0.628
5 H 0.863 0.133 0.128
6 H 0.137 0.867 0.872
7 Ac 0.233 0.403 0.429
8 Ac 0.288 0.525 0.819
9 Ac 0.233 0.097 0.071
10 Ac 0.767 0.597 0.571
11 H 0.863 0.367 0.372
12 Pb 0.787 0.382 0.873
13 Ac 0.288 0.975 0.681
14 Pb 0.213 0.882 0.373
15 Ac 0.712 0.025 0.319
16 Pb 0.787 0.118 0.627

=====

Record 2
Density functional theory data (GGA-PBE) for an optimized crystal structure of VTe2IN.

Computed properties:
* space-group type: P4/mmm, No. 123
* energy: -19.4 eV/cell
* magnetic moment: 0.0 μB/cell
* E above lowest polymorph: 966 meV/atom
* raw formation energy: 1172 meV per atom

a b c (Å): 4.822 4.822 4.678
angles (deg): 90.00 90.00 90.00
Fractional positions:
1 Te 0.500 0.000 0.000
2 N 0.000 0.000 0.000
3 V 0.500 0.500 0.500
4 I 0.000 0.000 0.500
5 Te 0.000 0.500 0.000

=====

Record 3
Density functional theory data (GGA-PBE) for an optimized crystal structure of TbPm2Pr6.

Computed properties:
* space-group type: P4_2/mnm, No. 136
* energy: -75.2 eV/cell
* magnetic moment: 0.0 μB/cell
* E above lowest polymorph: 455 meV/atom

a b c (Å): 8.345 8.345 10.655
angles (deg): 90.00 90.00 90.00
Fractional positions:
1 Pr 0.262 0.262 0.667
2 Pr 0.238 0.762 0.500
3 Tb 0.500 0.500 0.500
4 Pr 0.738 0.738 0.667
5 Tb 0.000 0.000 0.000
6 Pm 0.000 0.000 0.332
7 Pr 0.262 0.262 0.000
8 Pr 0.762 0.238 0.833
9 Pr 0.262 0.262 0.333
10 Pr 0.738 0.738 0.000
11 Pr 0.238 0.762 0.167
12 Pr 0.238 0.762 0.833
13 Pr 0.738 0.738 0.333
14 Pr 0.762 0.238 0.500
15 Pr 0.762 0.238 0.167
16 Pm 0.000 0.000 0.668
17 Pm 0.500 0.500 0.832
18 Pm 0.500 0.500 0.168

=====

Record 4
Density functional theory data (GGA-PBE) for an optimized crystal structure of Mn3FeBi.

Computed properties:
* space-group type: Pm-3m, No. 221
* energy: -36.0 eV/cell
* magnetic moment: 8.4 μB/cell
* E above lowest polymorph: 0 meV/atom

a b c (Å): 4.472 4.472 4.472
angles (deg): 90.00 90.00 90.00
Site moments in Bohr magnetons follow the coordinates.
Fractional positions:
1 Mn 0.000 0.500 0.000  3.15
2 Mn 0.500 0.000 0.000  3.05
3 Fe 0.000 0.000 0.000  -1.19
4 Mn 0.000 0.000 0.500  3.21
5 Bi 0.500 0.500 0.500  -0.22